Computed, not measured: an optimized crystal structure of YRe at the PBE level of DFT.

Lattice parameters (Å, degrees): 7.863 7.863 7.863 90.00 90.00 90.00
Fractional coordinates of all 12 atoms:
1 Y 0.250 0.500 0.000
2 Y 0.750 0.500 0.000
3 Y 0.500 0.000 0.250
4 Y 0.500 0.000 0.750
5 Y 0.000 0.250 0.500
6 Y 0.000 0.750 0.500
7 Re 0.250 0.000 0.500
8 Re 0.750 0.000 0.500
9 Re 0.000 0.500 0.250
10 Re 0.000 0.500 0.750
11 Re 0.500 0.250 0.000
12 Re 0.500 0.750 0.000

## Properties
**Theoretical density**: 5.6 Mg/m³
**E_form**: 2.511 eV per atom
**Volume**: 81 Å³/f.u.



Computed, not measured: an optimized crystal structure of AcZn2Ni at the PBE level of DFT.

Lattice parameters (Å, degrees): 4.245 4.245 5.996 69.27 69.27 60.00
Fractional coordinates of all 4 atoms:
1 Ni 0.500 0.500 0.500
2 Ac 0.000 0.000 0.000
3 Zn 0.801 0.801 0.597
4 Zn 0.199 0.199 0.403

## Properties
**Theoretical density**: 8.1 Mg/m³
**E_form**: -0.260 eV per atom
**Volume**: 85 Å³/f.u.



Computed, not measured: an optimized crystal structure of ReAgW at the PBE level of DFT.

Lattice parameters (Å, degrees): 4.549 4.549 2.691 90.00 90.00 120.00
Fractional coordinates of all 3 atoms:
1 Re 0.333 0.667 0.372
2 Ag 0.000 0.000 0.996
3 W 0.667 0.333 0.632

## Properties
**Relative energy among the computed polymorphs**: 0.0131 eV/atom
**Theoretical density**: 16.5 Mg/m³
**E_form**: 0.473 eV per atom
**Volume**: 48 Å³/f.u.



Computed, not measured: an optimized crystal structure of Pr8HgGe3I4 at the PBE level of DFT.

Lattice parameters (Å, degrees): 8.878 9.186 8.880 118.91 120.00 90.00
Fractional coordinates of all 16 atoms:
1 Pr 0.241 0.710 0.969
2 Pr 0.241 0.710 0.482
3 Pr 0.266 0.298 0.532
4 Pr 0.728 0.710 0.969
5 Pr 0.272 0.290 0.031
6 Pr 0.734 0.702 0.468
7 Pr 0.759 0.290 0.518
8 Pr 0.759 0.290 0.031
9 Hg 0.000 0.500 0.000
10 Ge 0.500 0.500 0.000
11 Ge 0.500 0.500 0.500
12 Ge 0.000 0.500 0.500
13 I 0.500 0.000 0.000
14 I 0.500 0.000 0.500
15 I 0.000 0.000 0.000
16 I 0.000 0.000 0.500

## Properties
**Calculated total energy**: -4.59 eV/atom
**Theoretical density**: 6.6 Mg/m³
**Volume**: 520 Å³/f.u.